Material: Pm5DyZn4
Method: DFT, GGA-PBE
State: optimized geometry

Its density of states at the Fermi level is 11.3 states/eV/cell. Its electronic total energy is -3.59 eV per atom.

The structure belongs to space group P4/mmm (No. 123); the cell edges are 3.6545, 3.6545 and 19.6604 Å and the angles 90.00°, 90.00° and 90.00°. The inequivalent atoms are Pm at (0.0000, 0.0000, 0.0000), Pm at (0.0000, 0.0000, 0.1858), Pm at (0.0000, 0.0000, 0.3714), Dy at (0.5000, 0.5000, 0.5000), Zn at (0.5000, 0.5000, 0.0936) and Zn at (0.5000, 0.5000, 0.2796).


Material: PmDy4Zn
Method: DFT, GGA-PBE
State: optimized geometry

The relative energy among the computed polymorphs is 0 meV per atom. Its density of states at the Fermi level is 8.3 states/eV/cell. Its electronic total energy is -4.17 eV per atom.

The structure belongs to space group P4/mmm (No. 123); the cell edges are 3.5700, 3.5700 and 13.7001 Å and the angles 90.00°, 90.00° and 90.00°. The inequivalent atoms are Pm at (0.0000, 0.0000, 0.0000), Dy at (0.0000, 0.0000, 0.3712), Dy at (0.5000, 0.5000, 0.1858) and Zn at (0.5000, 0.5000, 0.5000).


Material: PmDy4Zn4
Method: DFT, GGA-PBE
State: optimized geometry

Its density of states at the Fermi level is 16.8 states/eV/cell. Its electronic total energy is -3.28 eV per atom.

The structure belongs to space group I4/m (No. 87); the cell edges are 9.5117, 9.5117 and 5.0936 Å and the angles 90.00°, 90.00° and 90.00°. The inequivalent atoms are Pm at (0.0000, 0.0000, 0.0000), Dy at (0.1083, 0.3484, 0.0000) and Zn at (0.0780, 0.1818, 0.5000).


Material: Pm12Dy3Zn5
Method: DFT, GGA-PBE
State: optimized geometry

Its density of states at the Fermi level is 229.6 states/eV/cell. Its electronic total energy is -3.39 eV per atom.

The structure belongs to space group Ia-3d (No. 230); the cell edges are 17.9634, 17.9634 and 17.9634 Å and the angles 90.00°, 90.00° and 90.00°. The inequivalent atoms are Pm at (0.0258, 0.0679, 0.6444), Dy at (0.0000, 0.2500, 0.1250), Zn at (0.0000, 0.0000, 0.0000) and Zn at (0.0000, 0.2500, 0.3750).


Material: PmDy4Zn
Method: DFT, GGA-PBE
State: optimized geometry

The relative energy among the computed polymorphs is 97 meV per atom. Its density of states at the Fermi level is 33.6 states/eV/cell. Its electronic total energy is -4.07 eV per atom.

The structure belongs to space group C2/c (No. 15); the cell edges are 8.8587, 13.5839 and 6.2120 Å and the angles 90.00°, 108.95° and 90.00°. The inequivalent atoms are Pm at (0.0000, 0.0987, 0.2500), Dy at (0.1046, 0.3189, 0.5516), Dy at (0.2250, 0.1096, 0.8713) and Zn at (0.0000, 0.5002, 0.2500).


Material: PmDy2Zn3
Method: DFT, GGA-PBE
State: optimized geometry

Its density of states at the Fermi level is 7.0 states/eV/cell. Its electronic total energy is -3.29 eV per atom.

The structure belongs to space group P4/mmm (No. 123); the cell edges are 3.5954, 3.5954 and 10.8098 Å and the angles 90.00°, 90.00° and 90.00°. The inequivalent atoms are Pm at (0.0000, 0.0000, 0.0000), Dy at (0.0000, 0.0000, 0.3362), Zn at (0.5000, 0.5000, 0.1760) and Zn at (0.5000, 0.5000, 0.5000).


Material: PmDyZn2
Method: DFT, GGA-PBE
State: optimized geometry

Its density of states at the Fermi level is 21.0 states/eV/cell. Its electronic total energy is -3.30 eV per atom.

The structure belongs to space group Fm-3m (No. 225); the cell edges are 7.2294, 7.2294 and 7.2294 Å and the angles 90.00°, 90.00° and 90.00°. The inequivalent atoms are Pm at (0.0000, 0.0000, 0.0000), Dy at (0.0000, 0.0000, 0.5000) and Zn at (0.2500, 0.2500, 0.2500).


Material: PmDyZn2
Method: DFT, GGA-PBE
State: optimized geometry

Its density of states at the Fermi level is 4.6 states/eV/cell. Its electronic total energy is -3.30 eV per atom.

The structure belongs to space group P4/mmm (No. 123); the cell edges are 3.6004, 3.6004 and 7.2752 Å and the angles 90.00°, 90.00° and 90.00°. The inequivalent atoms are Pm at (0.0000, 0.0000, 0.0000), Dy at (0.0000, 0.0000, 0.5000) and Zn at (0.5000, 0.5000, 0.2648).


Material: Pm3DyZn4
Method: DFT, GGA-PBE
State: optimized geometry

Its density of states at the Fermi level is 26.6 states/eV/cell. Its electronic total energy is -3.31 eV per atom.

The structure belongs to space group R-3m (No. 166, hexagonal axes); the cell edges are 5.1336, 5.1336 and 25.2546 Å and the angles 90.00°, 90.00° and 120.00°. The inequivalent atoms are Pm at (0.0000, 0.0000, 0.0000), Pm at (0.0000, 0.0000, 0.2489), Dy at (0.0000, 0.0000, 0.5000), Zn at (0.0000, 0.0000, 0.1263) and Zn at (0.0000, 0.0000, 0.3764).


Material: PmDy3Zn
Method: DFT, GGA-PBE
State: optimized geometry

Its density of states at the Fermi level is 28.7 states/eV/cell. Its electronic total energy is -3.91 eV per atom.

The structure belongs to space group C2/m (No. 12); the cell edges are 11.5973, 8.4435 and 7.7665 Å and the angles 90.00°, 124.96° and 90.00°. The inequivalent atoms are Pm at (0.0825, 0.0000, 0.2723), Dy at (0.0477, 0.5000, 0.3098), Dy at (0.1882, 0.2012, 0.7154) and Zn at (0.2358, 0.0000, 0.0661).


Material: PmDy3Zn8
Method: DFT, GGA-PBE
State: optimized geometry

Its density of states at the Fermi level is 7.7 states/eV/cell. Its electronic total energy is -2.71 eV per atom.

The structure belongs to space group P3m1 (No. 156); the cell edges are 5.5719, 5.5719 and 8.6699 Å and the angles 90.00°, 90.00° and 120.00°. The inequivalent atoms are Pm at (0.0000, 0.0000, 0.0000), Dy at (0.0000, 0.0000, 0.3877), Dy at (0.6667, 0.3333, 0.5051), Dy at (0.6667, 0.3333, 0.8907), Zn at (0.1664, 0.3328, 0.6923), Zn at (0.3333, 0.6667, 0.4446), Zn at (0.3333, 0.6667, 0.9466) and Zn at (0.5016, 0.0032, 0.1978).


Material: Pm2Dy2Zn
Method: DFT, GGA-PBE
State: optimized geometry

Its density of states at the Fermi level is 11.6 states/eV/cell. Its electronic total energy is -4.12 eV per atom.

The structure belongs to space group I4/mmm (No. 139); the cell edges are 3.5909, 3.5909 and 22.6237 Å and the angles 90.00°, 90.00° and 90.00°. The inequivalent atoms are Pm at (0.0000, 0.0000, 0.1923), Dy at (0.0000, 0.0000, 0.4227) and Zn at (0.0000, 0.0000, 0.0000).


Material: Pm3Dy4Zn
Method: DFT, GGA-PBE
State: optimized geometry

Its density of states at the Fermi level is 9.4 states/eV/cell. Its electronic total energy is -4.32 eV per atom.

The structure belongs to space group P4/mmm (No. 123); the cell edges are 3.5834, 3.5834 and 18.9331 Å and the angles 90.00°, 90.00° and 90.00°. The inequivalent atoms are Pm at (0.0000, 0.0000, 0.0000), Pm at (0.0000, 0.0000, 0.2697), Dy at (0.5000, 0.5000, 0.1353), Dy at (0.5000, 0.5000, 0.4067) and Zn at (0.0000, 0.0000, 0.5000).


Material: Pm4DyZn5
Method: DFT, GGA-PBE
State: optimized geometry

Its density of states at the Fermi level is 11.9 states/eV/cell. Its electronic total energy is -3.32 eV per atom.

The structure belongs to space group P4/mmm (No. 123); the cell edges are 3.6370, 3.6370 and 18.2455 Å and the angles 90.00°, 90.00° and 90.00°. The inequivalent atoms are Pm at (0.0000, 0.0000, 0.1012), Pm at (0.0000, 0.0000, 0.3033), Dy at (0.0000, 0.0000, 0.5000), Zn at (0.5000, 0.5000, 0.0000), Zn at (0.5000, 0.5000, 0.2014) and Zn at (0.5000, 0.5000, 0.4064).


Material: PmDy2Zn
Method: DFT, GGA-PBE
State: optimized geometry

The relative energy among the computed polymorphs is 0 meV per atom. Its density of states at the Fermi level is 4.7 states/eV/cell. Its electronic total energy is -3.97 eV per atom.

The structure belongs to space group P4/mmm (No. 123); the cell edges are 3.5844, 3.5844 and 8.6770 Å and the angles 90.00°, 90.00° and 90.00°. The inequivalent atoms are Pm at (0.0000, 0.0000, 0.0000), Dy at (0.5000, 0.5000, 0.2965) and Zn at (0.0000, 0.0000, 0.5000).


Material: PmDy2Zn4
Method: DFT, GGA-PBE
State: optimized geometry

Its density of states at the Fermi level is 10.0 states/eV/cell. Its electronic total energy is -2.87 eV per atom.

The structure belongs to space group I4/mmm (No. 139); the cell edges are 5.1814, 5.1814 and 12.6108 Å and the angles 90.00°, 90.00° and 90.00°. The inequivalent atoms are Pm at (0.0000, 0.0000, 0.0000), Dy at (0.0000, 0.0000, 0.2761) and Zn at (0.0000, 0.5000, 0.1128).


Material: Pm3DyZn
Method: DFT, GGA-PBE
State: optimized geometry

The relative energy among the computed polymorphs is 178 meV per atom. Its density of states at the Fermi level is 30.9 states/eV/cell. Its electronic total energy is -3.96 eV per atom.

The structure belongs to space group C2/m (No. 12); the cell edges are 11.9577, 8.9796 and 7.8977 Å and the angles 90.00°, 130.68° and 90.00°. The inequivalent atoms are Pm at (0.0532, 0.0000, 0.3231), Pm at (0.2233, 0.3081, 0.7532), Dy at (0.0652, 0.5000, 0.2660) and Zn at (0.2424, 0.5000, 0.1143).


Material: Pm3DyZn
Method: DFT, GGA-PBE
State: optimized geometry

The relative energy among the computed polymorphs is 0 meV per atom. Its density of states at the Fermi level is 21.6 states/eV/cell. Its electronic total energy is -4.14 eV per atom.

The structure belongs to space group C2/m (No. 12); the cell edges are 12.6864, 3.6928 and 12.8167 Å and the angles 90.00°, 90.74° and 90.00°. The inequivalent atoms are Pm at (0.0502, 0.0000, 0.1935), Pm at (0.1330, 0.5000, 0.9628), Pm at (0.1341, 0.0000, 0.4577), Dy at (0.2146, 0.0000, 0.7354) and Zn at (0.0511, 0.5000, 0.6363).


Material: PmDy2Zr
Method: DFT, GGA-PBE
State: optimized geometry

The relative energy among the computed polymorphs is 0 meV per atom. Its density of states at the Fermi level is 18.6 states/eV/cell. Its electronic total energy is -5.54 eV per atom.

The structure belongs to space group R3m (No. 160, hexagonal axes); the cell edges are 3.4747, 3.4747 and 33.9439 Å and the angles 90.00°, 90.00° and 120.00°. The inequivalent atoms are Pm at (0.0000, 0.0000, 0.0000), Dy at (0.0000, 0.0000, 0.2443), Dy at (0.0000, 0.0000, 0.4227) and Zr at (0.0000, 0.0000, 0.8335).


Material: PmDyZr
Method: DFT, GGA-PBE
State: optimized geometry

The relative energy among the computed polymorphs is 71 meV per atom. Its density of states at the Fermi level is 6.0 states/eV/cell. Its electronic total energy is -5.82 eV per atom.

The structure belongs to space group P-6m2 (No. 187); the cell edges are 5.4190, 5.4190 and 3.3957 Å and the angles 90.00°, 90.00° and 120.00°. The inequivalent atoms are Pm at (0.0000, 0.0000, 0.0000), Dy at (0.6667, 0.3333, 0.5000) and Zr at (0.3333, 0.6667, 0.0000).